## CaEr4Lu (PBE-GGA)

Data for a geometry-optimized CaEr4Lu structure.

The structure in POSCAR format:
```
CaEr4Lu
1.0
0.0000 4.6399 4.6399
4.6399 0.0000 4.6399
4.6399 4.6399 0.0000
Ca Er Lu
1 4 1
Direct
0.0000 0.0000 0.0000 Ca
0.1294 0.6235 0.6235 Er
0.6235 0.1294 0.6235 Er
0.6235 0.6235 0.1294 Er
0.6235 0.6235 0.6235 Er
0.2500 0.2500 0.2500 Lu
```

Results
As for the space-group type: F-43m, No. 216. As for the total magnetization: 0.03 μB per cell. As for the density of states at the Fermi level: 8.7 states/eV/f.u. The formation energy is 1.35 eV per formula unit.